Entry 1:
First-principles (PBE) data for an optimized crystal structure of Pm6ZnSe3S2, as listed in the Alexandria database.

Computed properties:
formation energy without anion corrections = -1653 meV/atom

a = 7.1702 Å, b = 12.3941 Å, c = 7.2490 Å
α = 90.00°, β = 109.17°, γ = 90.00°
With the nearest neighbours (Å) after each atom.
Space group C2/m (No. 12)
Asymmetric unit:
Pm 0.2403 0.0000 0.2367 (multiplicity 4)  2 S 2.87, 1 Zn 2.92, 3 Se 2.96-3.00
Pm 0.2488 0.3304 0.2395 (multiplicity 8)  2 S 2.88, 1 Zn 2.93, 3 Se 2.96-3.00
Zn 0.0000 0.5000 0.0000 (multiplicity 2)  6 Pm 2.92-2.93
Se 0.0000 0.0000 0.5000 (multiplicity 2)  6 Pm 2.96-3.00
Se 0.0000 0.3347 0.5000 (multiplicity 4)  6 Pm 2.96-3.00
S 0.0000 0.1664 0.0000 (multiplicity 4)  6 Pm 2.87-2.88

Entry 2:
First-principles (PBE) data for an optimized crystal structure of SrAlI6, as listed in the Alexandria database.

Computed properties:
formation energy without anion corrections = -806 meV/atom

a = 7.5411 Å, b = 13.7923 Å, c = 7.7062 Å
α = 90.00°, β = 108.96°, γ = 90.00°
With the nearest neighbours (Å) after each atom.
Space group C2/m (No. 12)
Asymmetric unit:
Sr 0.0000 0.0000 0.0000 (multiplicity 2)  6 I 3.27-3.39
Al 0.0000 0.5000 0.5000 (multiplicity 2)  6 I 2.74-2.92
I 0.1750 0.3569 0.7412 (multiplicity 8)  1 Al 2.74
I 0.2025 0.0000 0.6660 (multiplicity 4)  1 Al 2.92

Entry 3:
First-principles (PBE) data for an optimized crystal structure of Li2PdI4, as listed in the Alexandria database.

Computed properties:
formation energy without anion corrections = -569 meV/atom
distance to the lowest polymorph of the same formula = 91 meV per atom

a = 5.6500 Å, b = 5.6500 Å, c = 14.4026 Å
α = 90.00°, β = 90.00°, γ = 90.00°
With the nearest neighbours (Å) after each atom.
Space group I4/mmm (No. 139)
Asymmetric unit:
Li 0.0000 0.0000 0.1206 (multiplicity 4)  1 I 2.75
Pd 0.0000 0.0000 0.5000 (multiplicity 2)  6 I 2.72-2.82
I 0.0000 0.0000 0.3114 (multiplicity 4)  1 Pd 2.72, 1 Li 2.75
I 0.0000 0.5000 0.0000 (multiplicity 4)  2 Pd 2.82

Entry 4:
First-principles (PBE) data for an optimized crystal structure of SrMgTe2O8, as listed in the Alexandria database.

Computed properties:
formation energy without anion corrections = -1535 meV/atom

a = 5.7660 Å, b = 5.7660 Å, c = 7.0618 Å
α = 90.00°, β = 90.00°, γ = 120.00°
With the nearest neighbours (Å) after each atom.
Space group P-3 (No. 147)
Asymmetric unit:
Sr 0.0000 0.0000 0.0000 (multiplicity 1)  6 O 2.67
Mg 0.0000 0.0000 0.5000 (multiplicity 1)  6 O 2.09
Te 0.3333 0.6667 0.7685 (multiplicity 2)  4 O 1.83-1.84
O 0.1426 0.3137 0.6947 (multiplicity 6)  1 Te 1.84
O 0.3333 0.6667 0.0277 (multiplicity 2)  1 Te 1.83

Entry 5:
First-principles (PBE) data for an optimized crystal structure of K2ZnRe, as listed in the Alexandria database.

Computed properties:
DFT formation energy = 1.314 eV per atom

a = 12.2560 Å, b = 12.2560 Å, c = 4.8723 Å
α = 90.00°, β = 90.00°, γ = 90.00°
With the nearest neighbours (Å) after each atom.
Space group I-42d (No. 122)
Asymmetric unit:
K 0.0793 0.7500 0.1250 (multiplicity 8)  2 Zn 3.27
Zn 0.0000 0.0000 0.0000 (multiplicity 4)  2 Re 2.44
Re 0.0000 0.0000 0.5000 (multiplicity 4)  2 Zn 2.44

Entry 6:
First-principles (PBE) data for an optimized crystal structure of NbCuPb2Cl, as listed in the Alexandria database.

Computed properties:
formation energy without anion corrections = 594 meV/atom

a = 5.6390 Å, b = 5.6390 Å, c = 4.7315 Å
α = 90.00°, β = 90.00°, γ = 90.00°
With the nearest neighbours (Å) after each atom.
Space group P4/mmm (No. 123)
Asymmetric unit:
Nb 0.0000 0.0000 0.0000 (multiplicity 1)  2 Cu 2.37
Cu 0.0000 0.0000 0.5000 (multiplicity 1)  2 Nb 2.37
Pb 0.0000 0.5000 0.0000 (multiplicity 2)  2 Nb 2.82
Cl 0.5000 0.5000 0.5000 (multiplicity 1)  8 Pb 3.68, 4 Cu 3.99

Entry 7:
First-principles (PBE) data for an optimized crystal structure of Mg2Tl, as listed in the Alexandria database.

Computed properties:
DFT formation energy = -0.037 eV per atom

a = 4.5170 Å, b = 4.5170 Å, c = 28.0503 Å
α = 90.00°, β = 90.00°, γ = 90.00°
With the nearest neighbours (Å) after each atom.
Space group I4_1/amd (No. 141, origin choice 2)
Asymmetric unit:
Mg 0.0000 0.2500 0.1252 (multiplicity 8)  4 Tl 3.17, 8 Mg 3.19-3.26
Mg 0.0000 0.2500 0.2915 (multiplicity 8)  6 Tl 3.20-3.33, 6 Mg 3.24-3.26
Tl 0.0000 0.2500 0.7957 (multiplicity 8)  10 Mg 3.17-3.33, 2 Tl 3.42

Entry 8:
First-principles (PBE) data for an optimized crystal structure of Sm4Dy5Ho, as listed in the Alexandria database.

Computed properties:
distance to the lowest polymorph of the same formula = 0 meV per atom
DFT formation energy = 0.186 eV per atom

a = 17.1965 Å, b = 3.5320 Å, c = 11.0998 Å
α = 90.00°, β = 90.01°, γ = 90.00°
With the nearest neighbours (Å) after each atom.
Space group C2/m (No. 12)
Asymmetric unit:
Sm 0.0296 0.0000 0.2502 (multiplicity 4)  4 Dy 3.31-3.33, 2 Ho 3.33, 4 Sm 3.53-3.62
Sm 0.1544 0.5000 0.7500 (multiplicity 4)  4 Sm 3.53-3.62, 7 Dy 3.67-3.84, 1 Ho 3.84
Dy 0.0000 0.5000 0.0000 (multiplicity 2)  4 Sm 3.33, 6 Dy 3.52-3.53
Dy 0.1739 0.0000 0.0533 (multiplicity 4)  2 Sm 3.31-3.67, 6 Dy 3.37-3.53
Dy 0.1736 0.0000 0.4475 (multiplicity 4)  2 Sm 3.31-3.68, 4 Dy 3.37-3.53, 2 Ho 3.52
Ho 0.0000 0.5000 0.5000 (multiplicity 2)  4 Sm 3.33, 4 Dy 3.52, 2 Ho 3.53

Entry 9:
First-principles (PBE) data for an optimized crystal structure of RbTl5Hg7, as listed in the Alexandria database.

Computed properties:
DFT formation energy = -0.032 eV per atom

a = 7.1786 Å, b = 10.6424 Å, c = 10.7356 Å
α = 90.00°, β = 90.00°, γ = 90.00°
With the nearest neighbours (Å) after each atom.
Space group Imm2 (No. 44)
Asymmetric unit:
Rb 0.0000 0.0000 0.0000 (multiplicity 2)  6 Hg 3.74-4.12, 4 Tl 4.11
Tl 0.0000 0.5000 0.7243 (multiplicity 2)  4 Hg 3.29-3.41, 4 Tl 3.31
Tl 0.2462 0.2572 0.2557 (multiplicity 8)  7 Hg 3.19-3.47, 2 Tl 3.31-3.53
Hg 0.0000 0.0000 0.3482 (multiplicity 2)  3 Hg 3.12-3.44, 4 Tl 3.41
Hg 0.0000 0.0000 0.6391 (multiplicity 2)  3 Hg 3.12-3.29, 4 Tl 3.40
Hg 0.0000 0.2796 0.5092 (multiplicity 4)  3 Hg 3.17-3.44, 5 Tl 3.24-3.29
Hg 0.0000 0.3546 0.0071 (multiplicity 4)  1 Hg 3.09, 3 Tl 3.36-3.41
Hg 0.0000 0.5000 0.3111 (multiplicity 2)  2 Hg 3.17, 4 Tl 3.19

Entry 10:
First-principles (PBE) data for an optimized crystal structure of Sr2HfVTc, as listed in the Alexandria database.

Computed properties:
distance to the lowest polymorph of the same formula = 273 meV per atom
DFT formation energy = 1.814 eV per atom

a = 6.1465 Å, b = 6.1465 Å, c = 4.6004 Å
α = 90.00°, β = 90.00°, γ = 90.00°
With the nearest neighbours (Å) after each atom.
Space group P4/mmm (No. 123)
Asymmetric unit:
Sr 0.0000 0.5000 0.0000 (multiplicity 2)  2 Hf 3.07
Hf 0.0000 0.0000 0.0000 (multiplicity 1)  2 V 2.30
V 0.0000 0.0000 0.5000 (multiplicity 1)  2 Hf 2.30
Tc 0.5000 0.5000 0.5000 (multiplicity 1)  8 Sr 3.84

Entry 11:
First-principles (PBE) data for an optimized crystal structure of La7YEr3, as listed in the Alexandria database.

Computed properties:
distance to the lowest polymorph of the same formula = 0 meV per atom
DFT formation energy = 0.113 eV per atom

a = 7.0889 Å, b = 10.2201 Å, c = 12.0641 Å
α = 104.18°, β = 98.61°, γ = 108.97°
With the nearest neighbours (Å) after each atom.
Space group P1 (No. 1)
Asymmetric unit:
La 0.0000 0.0000 0.0000 (multiplicity 1)  3 Er 3.27-3.58, 3 La 3.44-3.58, 1 Y 3.56
La 0.0227 0.8587 0.2433 (multiplicity 1)  5 La 3.48-3.82, 2 Er 3.50-3.74, 1 Y 3.52
La 0.1509 0.4868 0.7090 (multiplicity 1)  2 Y 3.46-3.66, 5 La 3.50-3.88, 2 Er 3.67-3.79
La 0.1816 0.3452 0.9757 (multiplicity 1)  3 Er 3.34-3.63, 4 La 3.37-3.68, 1 Y 3.60
La 0.2324 0.1213 0.7352 (multiplicity 1)  3 Er 3.31-3.69, 5 La 3.37-3.67
La 0.3341 0.8729 0.5145 (multiplicity 1)  5 La 3.36-3.61, 2 Er 3.54-3.75
La 0.4119 0.5422 0.4898 (multiplicity 1)  4 Er 3.36-3.67, 5 La 3.44-3.75
La 0.4586 0.9569 0.8938 (multiplicity 1)  4 La 3.39-3.78, 2 Er 3.43-3.59, 1 Y 3.69
La 0.5406 0.9495 0.2003 (multiplicity 1)  3 Er 3.38-3.55, 2 Y 3.45-3.68, 3 La 3.54-3.68
La 0.6363 0.4202 0.7283 (multiplicity 1)  4 Er 3.43-3.65, 5 La 3.47-3.76, 2 Y 3.51-3.69
La 0.7001 0.3783 0.0308 (multiplicity 1)  4 La 3.46-3.76, 2 Er 3.56-3.58, 1 Y 3.62
La 0.7985 0.8792 0.4818 (multiplicity 1)  5 La 3.36-3.67, 4 Er 3.41-3.66, 1 Y 3.61
La 0.8789 0.5537 0.4366 (multiplicity 1)  5 La 3.44-3.78, 1 Y 3.52, 2 Er 3.60-3.81
La 0.9634 0.2726 0.2355 (multiplicity 1)  2 Er 3.31-3.55, 4 La 3.46-3.57
Y 0.0858 0.6701 0.9737 (multiplicity 1)  8 La 3.46-3.69, 4 Er 3.52-3.75
Y 0.7136 0.2073 0.4761 (multiplicity 1)  7 La 3.45-3.78, 4 Er 3.45-3.56
Er 0.2056 0.1888 0.4731 (multiplicity 1)  7 La 3.37-3.75, 2 Y 3.54-3.56, 1 Er 3.57
Er 0.3751 0.6143 0.2323 (multiplicity 1)  4 La 3.34-3.66
Er 0.4247 0.2619 0.2368 (multiplicity 1)  6 La 3.31-3.67, 1 Y 3.55, 1 Er 3.57
Er 0.5835 0.6728 0.9731 (multiplicity 1)  2 Y 3.52-3.57, 8 La 3.55-3.74, 2 Er 3.75-3.86
Er 0.7704 0.1292 0.7391 (multiplicity 1)  6 La 3.31-3.58, 1 Y 3.45
Er 0.8408 0.7765 0.7302 (multiplicity 1)  4 La 3.27-3.55

Entry 12:
First-principles (PBE) data for an optimized crystal structure of SrIrS2, as listed in the Alexandria database.

Computed properties:
formation energy without anion corrections = -339 meV/atom
distance to the lowest polymorph of the same formula = 388 meV per atom

a = 5.2941 Å, b = 5.2941 Å, c = 15.3234 Å
α = 90.00°, β = 90.00°, γ = 120.00°
With the nearest neighbours (Å) after each atom.
Space group R-3m (No. 166, hexagonal axes)
Asymmetric unit:
Sr 0.0000 0.0000 0.0000 (multiplicity 3)  6 S 3.08
Ir 0.0000 0.0000 0.5000 (multiplicity 3)  2 S 2.15
S 0.0000 0.0000 0.3600 (multiplicity 6)  1 Ir 2.15

| no. | E_tot (eV per atom) |
| --- | --- |
| 1 | -5.694 |
| 2 | -2.646 |
| 3 | -2.743 |
| 4 | -5.637 |
| 5 | -2.665 |
| 6 | -4.091 |
| 7 | -1.889 |
| 8 | -4.461 |
| 9 | -1.179 |
| 10 | -4.746 |
| 11 | -4.855 |
| 12 | -5.039 |